Density functional theory data (PBE) for crystalline SrMoPd at its relaxed geometry.

It has space group F-43m (No. 216), with a = 6.825 Å, b = 6.825 Å, c = 6.825 Å, α = 90.00°, β = 90.00° and γ = 90.00°. The inequivalent atoms are Sr at (0.000, 0.000, 0.000), Mo at (0.000, 0.000, 0.500) and Pd at (0.250, 0.250, 0.750).

The energy relative to the lowest polymorph listed for this composition comes out at 0 meV per atom.